Density functional theory data (PBE-GGA) for a relaxed structure of NbPt.

POSCAR file:
```
NbPt
1.0
13.966 0.000 0.000
0.000 2.816 0.000
0.000 0.000 5.010
Nb Pt
6 6
Direct
0.082 0.000 0.156
0.250 0.000 0.496
0.418 0.000 0.156
0.582 0.000 0.844
0.750 0.000 0.504
0.918 0.000 0.844
0.084 0.500 0.658
0.250 0.500 0.997
0.416 0.500 0.658
0.584 0.500 0.342
0.750 0.500 0.003
0.916 0.500 0.342
```

Properties
- VASP energy: -104.6 eV per cell
- Space group: Pmma, No. 51
- Total magnetic moment: 0.0 μB per cell
- ΔE_f: -123 kJ/mol of formula units